1.
A geometry-optimized CdTe3Cl structure, computed with PBE.

Lattice parameters (Å, degrees): 5.5859 5.5859 5.5859 90.00 90.00 90.00
Space group Pm-3m (No. 221)
Inequivalent atoms, fractional coordinates:
Cd (0.0000, 0.0000, 0.0000) (multiplicity 1)
Te (0.0000, 0.0000, 0.5000) (multiplicity 3)
Cl (0.5000, 0.5000, 0.5000) (multiplicity 1)

Results
- total moment (μB per formula unit) = 0.0
- relative energy among the computed polymorphs (eV per atom) = 0.000
- formation energy without anion corrections (meV per atom) = 518

2.
A geometry-optimized CdTe2Cl structure, computed with PBE.

Lattice parameters (Å, degrees): 5.2269 4.5494 5.9315 90.00 114.88 90.00
Space group P2/m (No. 10)
Inequivalent atoms, fractional coordinates:
Cd (0.0000, 0.0000, 0.0000) (multiplicity 1)
Te (0.1905, 0.5000, 0.3841) (multiplicity 2)
Cl (0.5000, 0.0000, 0.0000) (multiplicity 1)

Results
- total moment (μB per formula unit) = 0.0
- relative energy among the computed polymorphs (eV per atom) = 0.000
- formation energy without anion corrections (meV per atom) = -362

3.
A geometry-optimized Cd4TeCl structure, computed with PBE.

Lattice parameters (Å, degrees): 8.4521 8.4521 8.4521 90.00 90.00 90.00
Space group F-43m (No. 216)
Inequivalent atoms, fractional coordinates:
Cd (0.1250, 0.1250, 0.1250) (multiplicity 16)
Te (0.0000, 0.0000, 0.5000) (multiplicity 4)
Cl (0.2500, 0.2500, 0.7500) (multiplicity 4)

Results
- total moment (μB per formula unit) = 0.0
- formation energy without anion corrections (meV per atom) = -47

4.
A geometry-optimized CdTe2Cl structure, computed with PBE.

Lattice parameters (Å, degrees): 7.4856 7.4856 7.4856 90.00 90.00 90.00
Space group F-43m (No. 216)
Inequivalent atoms, fractional coordinates:
Cd (0.0000, 0.0000, 0.0000) (multiplicity 4)
Te (0.0000, 0.0000, 0.5000) (multiplicity 4)
Te (0.2500, 0.2500, 0.2500) (multiplicity 4)
Cl (0.2500, 0.2500, 0.7500) (multiplicity 4)

Results
- total moment (μB per formula unit) = 0.0
- relative energy among the computed polymorphs (eV per atom) = 0.413
- formation energy without anion corrections (meV per atom) = 51

5.
A geometry-optimized CdTe2Cl structure, computed with PBE.

Lattice parameters (Å, degrees): 3.9910 3.9910 27.7214 90.00 90.00 120.00
Space group R3m (No. 160, hexagonal axes)
Inequivalent atoms, fractional coordinates:
Cd (0.0000, 0.0000, 0.0000) (multiplicity 3)
Te (0.0000, 0.0000, 0.4797) (multiplicity 3)
Te (0.0000, 0.0000, 0.7394) (multiplicity 3)
Cl (0.0000, 0.0000, 0.2802) (multiplicity 3)

Results
- total moment (μB per formula unit) = 0.0
- relative energy among the computed polymorphs (eV per atom) = 0.151
- formation energy without anion corrections (meV per atom) = -211

6.
A geometry-optimized CdTe2Cl structure, computed with PBE.

Lattice parameters (Å, degrees): 11.5577 3.5395 6.2408 90.00 99.95 90.00
Space group Cm (No. 8)
Inequivalent atoms, fractional coordinates:
Cd (0.0000, 0.0000, 0.0000) (multiplicity 2)
Te (0.1457, 0.5000, 0.3396) (multiplicity 2)
Te (0.4702, 0.0000, 0.5865) (multiplicity 2)
Cl (0.3208, 0.0000, 0.9832) (multiplicity 2)

Results
- total moment (μB per formula unit) = 0.0
- relative energy among the computed polymorphs (eV per atom) = 0.048
- formation energy without anion corrections (meV per atom) = -314

7.
A geometry-optimized CdTe2Cl structure, computed with PBE.

Lattice parameters (Å, degrees): 4.1878 4.1995 7.0177 90.00 90.00 90.00
Space group Pmmm (No. 47)
Inequivalent atoms, fractional coordinates:
Cd (0.0000, 0.0000, 0.0000) (multiplicity 1)
Te (0.0000, 0.5000, 0.5000) (multiplicity 1)
Te (0.5000, 0.0000, 0.5000) (multiplicity 1)
Cl (0.5000, 0.5000, 0.0000) (multiplicity 1)

Results
- total moment (μB per formula unit) = 0.0
- relative energy among the computed polymorphs (eV per atom) = 0.237
- formation energy without anion corrections (meV per atom) = -126

8.
A geometry-optimized TlCdTeCl structure, computed with PBE.

Lattice parameters (Å, degrees): 4.6458 4.6458 7.6710 90.00 90.00 120.00
Space group P3m1 (No. 156)
Inequivalent atoms, fractional coordinates:
Tl (0.0000, 0.0000, 0.0000) (multiplicity 1)
Cd (0.3333, 0.6667, 0.5495) (multiplicity 1)
Te (0.6667, 0.3333, 0.6785) (multiplicity 1)
Cl (0.3333, 0.6667, 0.2111) (multiplicity 1)

Results
- total moment (μB per formula unit) = 0.0
- formation energy without anion corrections (meV per atom) = -696

9.
A geometry-optimized ThCdCl6 structure, computed with PBE.

Lattice parameters (Å, degrees): 6.7621 6.7621 18.5469 90.00 90.00 120.00
Space group R-3 (No. 148, hexagonal axes)
Inequivalent atoms, fractional coordinates:
Th (0.0000, 0.0000, 0.0000) (multiplicity 3)
Cd (0.0000, 0.0000, 0.5000) (multiplicity 3)
Cl (0.0018, 0.3520, 0.2494) (multiplicity 18)

Results
- total moment (μB per formula unit) = 0.0
- formation energy without anion corrections (meV per atom) = -1720

10.
A geometry-optimized ThCdCl structure, computed with PBE.

Lattice parameters (Å, degrees): 16.4600 3.6041 6.2454 90.00 90.00 90.00
Space group Amm2 (No. 38)
Inequivalent atoms, fractional coordinates:
Th (0.1638, 0.0000, 0.0000) (multiplicity 4)
Cd (0.0000, 0.0000, 0.6667) (multiplicity 2)
Cd (0.5000, 0.0000, 0.9857) (multiplicity 2)
Cl (0.2867, 0.0000, 0.6667) (multiplicity 4)

Results
- total moment (μB per formula unit) = 0.0
- formation energy without anion corrections (meV per atom) = -727

11.
A geometry-optimized Ti2Cd2Cl structure, computed with PBE.

Lattice parameters (Å, degrees): 3.8829 3.8829 14.3381 90.00 90.00 90.00
Space group I4/mmm (No. 139)
Inequivalent atoms, fractional coordinates:
Ti (0.0000, 0.0000, 0.0883) (multiplicity 4)
Cd (0.0000, 0.5000, 0.2500) (multiplicity 4)
Cl (0.0000, 0.0000, 0.5000) (multiplicity 2)

Results
- total moment (μB per formula unit) = 2.9
- relative energy among the computed polymorphs (eV per atom) = 0.548
- formation energy without anion corrections (meV per atom) = 350

12.
A geometry-optimized TiCd3Cl structure, computed with PBE.

Lattice parameters (Å, degrees): 5.1982 5.1982 5.1982 90.00 90.00 90.00
Space group Pm-3m (No. 221)
Inequivalent atoms, fractional coordinates:
Ti (0.0000, 0.0000, 0.0000) (multiplicity 1)
Cd (0.0000, 0.5000, 0.5000) (multiplicity 3)
Cl (0.5000, 0.5000, 0.5000) (multiplicity 1)

Results
- total moment (μB per formula unit) = 0.0
- relative energy among the computed polymorphs (eV per atom) = 0.321
- formation energy without anion corrections (meV per atom) = 832

13.
A geometry-optimized TiCdCl3 structure, computed with PBE.

Lattice parameters (Å, degrees): 4.9460 4.9460 4.9460 90.00 90.00 90.00
Space group Pm-3m (No. 221)
Inequivalent atoms, fractional coordinates:
Ti (0.0000, 0.0000, 0.0000) (multiplicity 1)
Cd (0.5000, 0.5000, 0.5000) (multiplicity 1)
Cl (0.0000, 0.0000, 0.5000) (multiplicity 3)

Results
- total moment (μB per formula unit) = 1.2
- relative energy among the computed polymorphs (eV per atom) = 0.000
- formation energy without anion corrections (meV per atom) = -961

14.
A geometry-optimized TiCd2Cl structure, computed with PBE.

Lattice parameters (Å, degrees): 8.2234 8.2234 5.5610 90.00 90.00 90.00
Space group I-42d (No. 122)
Inequivalent atoms, fractional coordinates:
Ti (0.0000, 0.0000, 0.0000) (multiplicity 4)
Cd (0.2462, 0.7500, 0.1250) (multiplicity 8)
Cl (0.0000, 0.0000, 0.5000) (multiplicity 4)

Results
- total moment (μB per formula unit) = 2.4
- relative energy among the computed polymorphs (eV per atom) = 0.000
- formation energy without anion corrections (meV per atom) = 80

15.
A geometry-optimized TiCdCl3 structure, computed with PBE.

Lattice parameters (Å, degrees): 5.1943 5.1943 5.1943 90.00 90.00 90.00
Space group Pm-3m (No. 221)
Inequivalent atoms, fractional coordinates:
Ti (0.0000, 0.0000, 0.0000) (multiplicity 1)
Cd (0.5000, 0.5000, 0.5000) (multiplicity 1)
Cl (0.0000, 0.5000, 0.5000) (multiplicity 3)

Results
- total moment (μB per formula unit) = 2.9
- relative energy among the computed polymorphs (eV per atom) = 0.716
- formation energy without anion corrections (meV per atom) = -245

16.
A geometry-optimized TiCd2Cl structure, computed with PBE.

Lattice parameters (Å, degrees): 7.2638 7.2638 7.2638 90.00 90.00 90.00
Space group Fm-3m (No. 225)
Inequivalent atoms, fractional coordinates:
Ti (0.0000, 0.0000, 0.0000) (multiplicity 4)
Cd (0.2500, 0.2500, 0.2500) (multiplicity 8)
Cl (0.0000, 0.0000, 0.5000) (multiplicity 4)

Results
- total moment (μB per formula unit) = 2.4
- relative energy among the computed polymorphs (eV per atom) = 0.279
- formation energy without anion corrections (meV per atom) = 359

17.
A geometry-optimized TiCd3Cl structure, computed with PBE.

Lattice parameters (Å, degrees): 5.5862 5.5862 5.5862 90.00 90.00 90.00
Space group Pm-3m (No. 221)
Inequivalent atoms, fractional coordinates:
Ti (0.0000, 0.0000, 0.0000) (multiplicity 1)
Cd (0.0000, 0.0000, 0.5000) (multiplicity 3)
Cl (0.5000, 0.5000, 0.5000) (multiplicity 1)

Results
- total moment (μB per formula unit) = 2.8
- relative energy among the computed polymorphs (eV per atom) = 0.000
- formation energy without anion corrections (meV per atom) = 511

18.
A geometry-optimized Ti2Cd2Cl structure, computed with PBE.

Lattice parameters (Å, degrees): 6.2924 6.2924 4.9080 90.00 90.00 90.00
Space group P4/mbm (No. 127)
Inequivalent atoms, fractional coordinates:
Ti (0.1580, 0.3420, 0.0000) (multiplicity 4)
Cd (0.1576, 0.6576, 0.5000) (multiplicity 4)
Cl (0.0000, 0.0000, 0.0000) (multiplicity 2)

Results
- total moment (μB per formula unit) = 0.0
- relative energy among the computed polymorphs (eV per atom) = 0.000
- formation energy without anion corrections (meV per atom) = -198

19.
A geometry-optimized Ti2CdWCl structure, computed with PBE.

Lattice parameters (Å, degrees): 5.1331 5.1331 4.9897 90.00 90.00 90.00
Space group P4/mmm (No. 123)
Inequivalent atoms, fractional coordinates:
Ti (0.0000, 0.5000, 0.0000) (multiplicity 2)
Cd (0.0000, 0.0000, 0.0000) (multiplicity 1)
W (0.0000, 0.0000, 0.5000) (multiplicity 1)
Cl (0.5000, 0.5000, 0.5000) (multiplicity 1)

Results
- total moment (μB per formula unit) = 4.0
- formation energy without anion corrections (meV per atom) = 1898

20.
A geometry-optimized TlCdCl2 structure, computed with PBE.

Lattice parameters (Å, degrees): 3.7144 5.2252 5.5144 90.00 90.00 90.00
Space group Pmmm (No. 47)
Inequivalent atoms, fractional coordinates:
Tl (0.0000, 0.0000, 0.0000) (multiplicity 1)
Cd (0.0000, 0.5000, 0.5000) (multiplicity 1)
Cl (0.5000, 0.0000, 0.5000) (multiplicity 1)
Cl (0.5000, 0.5000, 0.0000) (multiplicity 1)

Results
- total moment (μB per formula unit) = 0.0
- relative energy among the computed polymorphs (eV per atom) = 0.115
- formation energy without anion corrections (meV per atom) = -610